# KAlOs PBE-GGA relaxed
# DOS at the Fermi energy ... 0.87 states/eV per atom
# E above lowest polymorph ... 285 meV/atom
data_KAlOs
_cell_length_a 3.216
_cell_length_b 4.630
_cell_length_c 15.534
_cell_angle_alpha 90.00
_cell_angle_beta 90.00
_cell_angle_gamma 90.00
_space_group_name_H-M_alt 'F m m 2'
_space_group_IT_number 42
_space_group_name_Hall 'F 2 -2'
loop_
_atom_site_label
_atom_site_type_symbol
_atom_site_fract_x
_atom_site_fract_y
_atom_site_fract_z
K1 K 0.000 0.000 0.000
Al1 Al 0.000 0.000 0.694
Os1 Os 0.000 0.000 0.319

***

# KAl2Os PBE-GGA relaxed
# DOS at the Fermi energy ... 0.66 states/eV per atom
# E above lowest polymorph ... 177 meV/atom
data_KAl2Os
_cell_length_a 8.248
_cell_length_b 2.948
_cell_length_c 8.223
_cell_angle_alpha 90.00
_cell_angle_beta 115.95
_cell_angle_gamma 90.00
_space_group_name_H-M_alt 'C 1 m 1'
_space_group_IT_number 8
_space_group_name_Hall 'C -2y'
loop_
_atom_site_label
_atom_site_type_symbol
_atom_site_fract_x
_atom_site_fract_y
_atom_site_fract_z
K1 K 0.000 0.000 0.000
Al1 Al 0.092 0.500 0.655
Al2 Al 0.384 0.500 0.354
Os1 Os 0.242 0.000 0.510

***

# KAl2Os PBE-GGA relaxed
# DOS at the Fermi energy ... 0.79 states/eV per atom
# E above lowest polymorph ... 784 meV/atom
data_KAl2Os
_cell_length_a 4.862
_cell_length_b 4.862
_cell_length_c 3.022
_cell_angle_alpha 90.00
_cell_angle_beta 90.00
_cell_angle_gamma 90.00
_space_group_name_H-M_alt 'P 4/m m m'
_space_group_IT_number 123
_space_group_name_Hall '-P 4 2'
loop_
_atom_site_label
_atom_site_type_symbol
_atom_site_fract_x
_atom_site_fract_y
_atom_site_fract_z
K1 K 0.000 0.000 0.000
Al1 Al 0.000 0.500 0.500
Os1 Os 0.500 0.500 0.000

***

# KAlOs PBE-GGA relaxed
# DOS at the Fermi energy ... 0.56 states/eV per atom
# E above lowest polymorph ... 263 meV/atom
data_KAlOs
_cell_length_a 2.9105
_cell_length_b 2.9105
_cell_length_c 7.8566
_cell_angle_alpha 90.00
_cell_angle_beta 90.00
_cell_angle_gamma 120.00
_space_group_name_H-M_alt 'P 3 m 1'
_space_group_IT_number 156
_space_group_name_Hall 'P 3 -2"'
loop_
_atom_site_label
_atom_site_type_symbol
_atom_site_fract_x
_atom_site_fract_y
_atom_site_fract_z
K1 K 0.0000 0.0000 0.0000
Al1 Al 0.3333 0.6667 0.6076
Os1 Os 0.6667 0.3333 0.3591

***

# KAl2Os PBE-GGA relaxed
# DOS at the Fermi energy ... 0.69 states/eV per atom
# E above lowest polymorph ... 888 meV/atom
data_KAl2Os
_cell_length_a 2.721
_cell_length_b 5.040
_cell_length_c 5.620
_cell_angle_alpha 90.00
_cell_angle_beta 90.00
_cell_angle_gamma 90.00
_space_group_name_H-M_alt 'P m m m'
_space_group_IT_number 47
_space_group_name_Hall '-P 2 2'
loop_
_atom_site_label
_atom_site_type_symbol
_atom_site_fract_x
_atom_site_fract_y
_atom_site_fract_z
K1 K 0.000 0.000 0.000
Al1 Al 0.000 0.500 0.500
Al2 Al 0.500 0.500 0.000
Os1 Os 0.500 0.000 0.500

***

# KAl2Os PBE-GGA relaxed
# DOS at the Fermi energy ... 0.88 states/eV per atom
# E above lowest polymorph ... 604 meV/atom
data_KAl2Os
_cell_length_a 6.600
_cell_length_b 6.600
_cell_length_c 6.600
_cell_angle_alpha 90.00
_cell_angle_beta 90.00
_cell_angle_gamma 90.00
_space_group_name_H-M_alt 'F m -3 m'
_space_group_IT_number 225
_space_group_name_Hall '-F 4 2 3'
loop_
_atom_site_label
_atom_site_type_symbol
_atom_site_fract_x
_atom_site_fract_y
_atom_site_fract_z
K1 K 0.000 0.000 0.000
Al1 Al 0.250 0.250 0.250
Os1 Os 0.000 0.000 0.500

***

Number 1: energy relative to the elements 662 meV/atom. Number 2: energy relative to the elements 228 meV/atom. Number 3: energy relative to the elements 835 meV/atom. Number 4: energy relative to the elements 640 meV/atom. Number 5: energy relative to the elements 939 meV/atom. Number 6: energy relative to the elements 655 meV/atom.